Compound: Sr2Ca5Mg4
Source: Alexandria
Functional: PBE-GGA
Structure: relaxed

Lattice parameters (Å, degrees): 7.041 8.477 8.468 74.84 65.43 65.46
Atoms (fractional coordinates):
Sr (0.298, 0.702, 0.702)
Sr (0.702, 0.298, 0.298)
Ca (0.248, 0.182, 0.818)
Ca (0.752, 0.818, 0.182)
Ca (0.000, 0.500, 0.500)
Ca (0.752, 0.182, 0.818)
Ca (0.248, 0.818, 0.182)
Mg (0.244, 0.096, 0.416)
Mg (0.756, 0.904, 0.584)
Mg (0.756, 0.583, 0.904)
Mg (0.244, 0.417, 0.096)

Calculated values
- SG = C2/m, No. 12
- magnetization (μB per cell) = 0.0
- Fermi-level density of states (states/eV/cell) = 10.3
- electronic total energy (eV per atom) = -1.764
- crystal system = monoclinic